Record 1
A relaxed structure of BaTm2ZnO5, computed with GGA-PBEsol.

Cell lengths 12.134, 5.625, 6.948 Å; angles 90.00, 90.00, 90.00 degrees
Positions (direct):
Ba 0.101 0.250 0.078
Ba 0.399 0.750 0.578
Ba 0.601 0.250 0.422
Ba 0.899 0.750 0.922
Tm 0.075 0.750 0.402
Tm 0.208 0.250 0.621
Tm 0.292 0.750 0.121
Tm 0.425 0.250 0.902
Tm 0.575 0.750 0.098
Tm 0.708 0.250 0.879
Tm 0.792 0.750 0.379
Tm 0.925 0.250 0.598
Zn 0.151 0.750 0.809
Zn 0.349 0.250 0.309
Zn 0.651 0.750 0.691
Zn 0.849 0.250 0.191
O 0.065 0.000 0.664
O 0.065 0.500 0.664
O 0.102 0.750 0.080
O 0.224 0.501 0.362
O 0.224 0.999 0.362
O 0.276 0.001 0.862
O 0.276 0.499 0.862
O 0.398 0.250 0.580
O 0.435 0.000 0.164
O 0.435 0.500 0.164
O 0.565 0.000 0.836
O 0.565 0.500 0.836
O 0.602 0.750 0.420
O 0.724 0.501 0.138
O 0.724 0.999 0.138
O 0.776 0.001 0.638
O 0.776 0.499 0.638
O 0.898 0.250 0.920
O 0.935 0.000 0.336
O 0.935 0.500 0.336

Calculated values
- Energy relative to the elements, uncorrected: -2982 meV per atom
- E: -7.40 eV/atom

Record 2
A relaxed structure of Ba5Tm8Zn4O21, computed with GGA-PBEsol.

Cell lengths 9.984, 9.984, 9.984 Å; angles 94.55, 94.55, 147.29 degrees
Positions (direct):
Ba 0.000 0.000 0.000
Ba 0.140 0.463 0.604
Ba 0.463 0.860 0.323
Ba 0.537 0.140 0.677
Ba 0.860 0.537 0.396
Tm 0.168 0.753 0.921
Tm 0.247 0.168 0.416
Tm 0.358 0.588 0.946
Tm 0.412 0.358 0.770
Tm 0.588 0.642 0.230
Tm 0.642 0.412 0.054
Tm 0.753 0.832 0.584
Tm 0.832 0.247 0.079
Zn 0.040 0.249 0.290
Zn 0.249 0.960 0.209
Zn 0.751 0.040 0.791
Zn 0.960 0.751 0.710
O 0.008 0.602 0.109
O 0.040 0.630 0.670
O 0.074 0.202 0.774
O 0.101 0.992 0.594
O 0.202 0.428 0.128
O 0.300 0.074 0.872
O 0.370 0.040 0.410
O 0.398 0.507 0.406
O 0.428 0.300 0.226
O 0.493 0.899 0.891
O 0.500 0.500 0.000
O 0.507 0.101 0.109
O 0.572 0.700 0.774
O 0.602 0.493 0.594
O 0.630 0.960 0.590
O 0.700 0.926 0.128
O 0.798 0.572 0.872
O 0.899 0.008 0.406
O 0.926 0.798 0.226
O 0.960 0.370 0.330
O 0.992 0.398 0.891

Calculated values
- Energy relative to the elements, uncorrected: -2967 meV per atom
- E: -7.35 eV/atom

Record 3
A relaxed structure of BaUO4, computed with GGA-PBEsol.

Cell lengths 5.800, 8.080, 8.187 Å; angles 90.00, 90.00, 90.00 degrees
Positions (direct):
Ba 0.018 0.193 0.250
Ba 0.018 0.307 0.750
Ba 0.982 0.693 0.250
Ba 0.982 0.807 0.750
U 0.500 0.000 0.000
U 0.500 0.000 0.500
U 0.500 0.500 0.000
U 0.500 0.500 0.500
O 0.202 0.576 0.569
O 0.202 0.576 0.931
O 0.202 0.924 0.069
O 0.202 0.924 0.431
O 0.352 0.250 0.000
O 0.352 0.250 0.500
O 0.384 0.527 0.250
O 0.384 0.973 0.750
O 0.616 0.027 0.250
O 0.616 0.473 0.750
O 0.648 0.750 0.000
O 0.648 0.750 0.500
O 0.798 0.076 0.569
O 0.798 0.076 0.931
O 0.798 0.424 0.069
O 0.798 0.424 0.431

Calculated values
- Energy relative to the elements, uncorrected: -3188 meV per atom
- E: -9.07 eV/atom

Record 4
A relaxed structure of BaUO3, computed with GGA-PBEsol.

Cell lengths 6.172, 8.710, 6.210 Å; angles 90.00, 90.00, 90.00 degrees
Positions (direct):
Ba 0.020 0.250 0.006
Ba 0.480 0.750 0.506
Ba 0.520 0.250 0.494
Ba 0.980 0.750 0.994
U 0.000 0.000 0.500
U 0.000 0.500 0.500
U 0.500 0.000 0.000
U 0.500 0.500 0.000
O 0.014 0.750 0.428
O 0.225 0.539 0.774
O 0.225 0.961 0.774
O 0.275 0.039 0.274
O 0.275 0.461 0.274
O 0.486 0.250 0.928
O 0.514 0.750 0.072
O 0.725 0.539 0.726
O 0.725 0.961 0.726
O 0.775 0.039 0.226
O 0.775 0.461 0.226
O 0.986 0.250 0.572

Calculated values
- Energy relative to the elements, uncorrected: -3005 meV per atom
- E: -9.02 eV/atom